--- a ---
RbTlIn2Au: relaxed, GGA-PBE.

Summary:
* DOS at the Fermi energy: 0.561 states/eV per atom
* SG: P4/mmm

abc: 5.519 5.519 5.829
angles: 90.00 90.00 90.00
Atoms (fractional coordinates):
Rb  0.000  0.000  0.000
Tl  0.500  0.500  0.000
In  0.000  0.500  0.500
In  0.500  0.000  0.500
Au  0.500  0.500  0.500

***

--- b ---
RbTlIn2Au: relaxed, GGA-PBE.

Summary:
* DOS at the Fermi energy: 1.714 states/eV per atom
* SG: P4/mmm

abc: 6.439 6.439 6.439
angles: 90.00 90.00 90.00
Atoms (fractional coordinates):
Rb  0.000  0.000  0.000
Tl  0.000  0.000  0.500
In  0.000  0.500  0.000
In  0.500  0.000  0.000
Au  0.500  0.500  0.500

***

Which of them is most stable, and which least? Most stable: a; least stable: b.